No. 1
The following is a PBE-GGA calculation of a relaxed HgHIrPd2 crystal, from Alexandria.

Computed properties:
The volume comes out at 13.6 A^3/atom. The value obtained for the total energy is -22.31 eV/cell. Its crystal system is tetragonal.

Lattice parameters (Å, degrees): 4.1853 4.1853 3.8833 90.00 90.00 90.00
Last column: nearest neighbours and their distance in Å.
Atoms (fractional coordinates):
Hg: 0.0000 0.0000 0.0000  8 Pd 2.85, 4 Ir 2.96
H: 0.5000 0.5000 0.5000  2 Ir 1.94, 4 Pd 2.09
Ir: 0.5000 0.5000 0.0000  2 H 1.94
Pd: 0.0000 0.5000 0.5000  2 H 2.09
Pd: 0.5000 0.0000 0.5000  2 H 2.09

---

No. 2
The following is a PBE-GGA calculation of a relaxed SrSbCl crystal, from Alexandria.

Computed properties:
The calculation puts the energy above the most stable polymorph in this dataset at 668.6 meV/atom. The volume comes out at 31.4 A^3/atom. The calculation puts the energy relative to the elements, uncorrected at -884 meV/atom. The value obtained for the total energy is -10.30 eV/cell. Its crystal system is hexagonal.

Lattice parameters (Å, degrees): 5.1735 5.1735 4.0598 90.00 90.00 120.00
Last column: nearest neighbours and their distance in Å.
Atoms (fractional coordinates):
Sr: 0.0000 0.0000 0.0000  3 Cl 2.99
Sb: 0.3333 0.6667 0.5000  6 Sr 3.61, 6 Cl 3.61
Cl: 0.6667 0.3333 0.0000  3 Sr 2.99

---

No. 3
The following is a PBE-GGA calculation of a relaxed TmHfTe2 crystal, from Alexandria.

Computed properties:
The volume comes out at 31.5 A^3/atom. The calculation puts the energy relative to the elements, uncorrected at -517 meV/atom. The value obtained for the total energy is -68.33 eV/cell. Its crystal system is trigonal.

Lattice parameters (Å, degrees): 3.8760 3.8760 29.0684 90.00 90.00 120.00
Last column: nearest neighbours and their distance in Å.
Atoms (fractional coordinates):
Tm: 0.0000 0.0000 0.0000  2 Te 3.03
Tm: 0.3333 0.6667 0.6667  2 Te 3.03
Tm: 0.6667 0.3333 0.3333  2 Te 3.03
Hf: 0.0000 0.0000 0.5000  6 Te 2.88
Hf: 0.3333 0.6667 0.1667  6 Te 2.88
Hf: 0.6667 0.3333 0.8333  6 Te 2.88
Te: 0.0000 0.0000 0.1041  3 Hf 2.88, 1 Tm 3.03
Te: 0.0000 0.0000 0.8959  3 Hf 2.88, 1 Tm 3.03
Te: 0.3333 0.6667 0.5625  3 Hf 2.88, 1 Tm 3.03
Te: 0.3333 0.6667 0.7708  3 Hf 2.88, 1 Tm 3.03
Te: 0.6667 0.3333 0.2292  3 Hf 2.88, 1 Tm 3.03
Te: 0.6667 0.3333 0.4375  3 Hf 2.88, 1 Tm 3.03

---

No. 4
The following is a PBE-GGA calculation of a relaxed Hf2CrTePt crystal, from Alexandria.

Computed properties:
The volume comes out at 27.4 A^3/atom. The calculation puts the energy relative to the elements, uncorrected at 726 meV/atom. The value obtained for the total energy is -35.09 eV/cell. Its crystal system is tetragonal.

Lattice parameters (Å, degrees): 5.0389 5.0389 5.4026 90.00 90.00 90.00
Last column: nearest neighbours and their distance in Å.
Atoms (fractional coordinates):
Hf: 0.0000 0.5000 0.0000  2 Pt 2.52
Hf: 0.5000 0.0000 0.0000  2 Pt 2.52
Cr: 0.0000 0.0000 0.5000  4 Te 3.56, 8 Hf 3.69
Te: 0.5000 0.5000 0.5000  2 Pt 2.70
Pt: 0.5000 0.5000 0.0000  4 Hf 2.52, 2 Te 2.70

---

No. 5
The following is a PBE-GGA calculation of a relaxed Nd8Tm2Cd crystal, from Alexandria.

Computed properties:
The calculation puts the energy above the most stable polymorph in this dataset at 0.0 meV/atom. The volume comes out at 32.8 A^3/atom. The value obtained for the total energy is -48.16 eV/cell. Its crystal system is monoclinic. The energy of formation is -1.36 kJ per mole of atoms.

Lattice parameters (Å, degrees): 6.2463 6.2463 12.8321 103.15 103.15 48.14
Last column: nearest neighbours and their distance in Å.
Atoms (fractional coordinates):
Nd: 0.0373 0.0373 0.3217  2 Cd 3.52, 7 Nd 3.56-3.66, 3 Tm 3.57-3.60
Nd: 0.1408 0.1408 0.9531  9 Nd 3.55-3.70, 3 Tm 3.65-3.69
Nd: 0.2422 0.2422 0.5877  3 Cd 3.40-3.72, 7 Nd 3.43-3.66, 2 Tm 3.56
Nd: 0.4088 0.4088 0.8592  9 Nd 3.53-3.69, 3 Tm 3.60-3.66
Nd: 0.5912 0.5912 0.1408  9 Nd 3.53-3.69, 3 Tm 3.60-3.66
Nd: 0.7578 0.7578 0.4123  3 Cd 3.40-3.72, 7 Nd 3.43-3.66, 2 Tm 3.56
Nd: 0.8592 0.8592 0.0469  9 Nd 3.55-3.70, 3 Tm 3.65-3.69
Nd: 0.9627 0.9627 0.6783  2 Cd 3.52, 7 Nd 3.56-3.66, 3 Tm 3.57-3.60
Tm: 0.3153 0.3153 0.2372  1 Cd 3.50, 11 Nd 3.56-3.69
Tm: 0.6847 0.6847 0.7628  1 Cd 3.50, 11 Nd 3.56-3.69
Cd: 0.5000 0.5000 0.5000  10 Nd 3.40-3.72, 2 Tm 3.50

---

No. 6
The following is a PBE-GGA calculation of a relaxed YMn2Al crystal, from Alexandria.

Computed properties:
The volume comes out at 17.8 A^3/atom. The value obtained for the total energy is -28.00 eV/cell. Its crystal system is monoclinic. The energy of formation is 13.13 kJ per mole of atoms.

Lattice parameters (Å, degrees): 3.0212 4.3462 5.6378 90.00 105.49 90.00
Last column: nearest neighbours and their distance in Å.
Atoms (fractional coordinates):
Y: 0.0000 0.0000 0.0000  7 Mn 2.79-3.05, 2 Y 3.02
Mn: 0.2596 0.0000 0.5139  2 Mn 2.55, 4 Al 2.79, 1 Y 2.79
Mn: 0.3797 0.5000 0.7598  2 Mn 2.55, 2 Al 2.69
Al: 0.6763 0.5000 0.3509  6 Mn 2.69-2.79

---

No. 7
The following is a PBE-GGA calculation of a relaxed CrReB crystal, from Alexandria.

Computed properties:
The calculation puts the energy above the most stable polymorph in this dataset at 24.0 meV/atom. The volume comes out at 10.7 A^3/atom. The value obtained for the total energy is -118.65 eV/cell. Its crystal system is monoclinic. The energy of formation is -29.38 kJ per mole of atoms.

Lattice parameters (Å, degrees): 7.4900 4.4900 5.3372 90.00 134.17 90.00
Last column: nearest neighbours and their distance in Å.
Atoms (fractional coordinates):
Cr: 0.1735 0.0000 0.0057  4 B 2.27-2.32, 2 Cr 2.54
Cr: 0.3265 0.5000 0.9943  4 B 2.27-2.32, 2 Cr 2.54
Cr: 0.6735 0.5000 0.0057  4 B 2.27-2.32, 2 Cr 2.54
Cr: 0.8265 0.0000 0.9943  4 B 2.27-2.32, 2 Cr 2.54
Re: 0.1609 0.5000 0.3288  4 B 2.27-2.30, 1 Re 2.52
Re: 0.3391 0.0000 0.6712  4 B 2.27-2.30, 1 Re 2.52
Re: 0.6609 0.0000 0.3288  4 B 2.27-2.30, 1 Re 2.52
Re: 0.8391 0.5000 0.6712  4 B 2.27-2.30, 1 Re 2.52
B: 0.0000 0.2322 0.5000  1 B 2.08, 4 Re 2.27-2.30, 4 Cr 2.27-2.32
B: 0.0000 0.7678 0.5000  1 B 2.08, 4 Re 2.27-2.30, 4 Cr 2.27-2.32
B: 0.5000 0.2678 0.5000  1 B 2.08, 4 Re 2.27-2.30, 4 Cr 2.27-2.32
B: 0.5000 0.7322 0.5000  1 B 2.08, 4 Re 2.27-2.30, 4 Cr 2.27-2.32

---

No. 8
The following is a PBE-GGA calculation of a relaxed Pr6Ge3P2Cl crystal, from Alexandria.

Computed properties:
The volume comes out at 27.5 A^3/atom. The calculation puts the energy relative to the elements, uncorrected at -1173 meV/atom. The value obtained for the total energy is -69.28 eV/cell. Its crystal system is monoclinic.

Lattice parameters (Å, degrees): 9.5831 9.5831 8.5934 103.94 103.94 25.60
Last column: nearest neighbours and their distance in Å.
Atoms (fractional coordinates):
Pr: 0.0025 0.0025 0.2626  3 Ge 2.95-3.02, 1 P 2.96, 2 Cl 3.09
Pr: 0.3311 0.3311 0.4230  3 P 2.98-2.99, 3 Ge 3.06-3.08
Pr: 0.3314 0.3314 0.9074  2 P 2.96, 3 Ge 3.03-3.06, 1 Cl 3.05
Pr: 0.6686 0.6686 0.0926  2 P 2.96, 3 Ge 3.03-3.06, 1 Cl 3.05
Pr: 0.6689 0.6689 0.5770  3 P 2.98-2.99, 3 Ge 3.06-3.08
Pr: 0.9975 0.9975 0.7374  3 Ge 2.95-3.02, 1 P 2.96, 2 Cl 3.09
Ge: 0.1643 0.1643 0.8348  6 Pr 3.02-3.08
Ge: 0.5000 0.5000 0.5000  6 Pr 2.95-3.06
Ge: 0.8357 0.8357 0.1652  6 Pr 3.02-3.08
P: 0.1657 0.1657 0.3315  6 Pr 2.96-2.99
P: 0.8343 0.8343 0.6685  6 Pr 2.96-2.99
Cl: 0.5000 0.5000 0.0000  6 Pr 3.05-3.09

---

No. 9
The following is a PBE-GGA calculation of a relaxed Ba6Bi2SbN crystal, from Alexandria.

Computed properties:
The volume comes out at 42.7 A^3/atom. The calculation puts the energy relative to the elements, uncorrected at -787 meV/atom. The value obtained for the total energy is -79.24 eV/cell. Its crystal system is monoclinic.

Lattice parameters (Å, degrees): 8.1695 8.8065 14.3924 90.00 124.47 90.00
Last column: nearest neighbours and their distance in Å.
Atoms (fractional coordinates):
Ba: 0.1082 0.2142 0.4412  1 N 2.95
Ba: 0.1082 0.2858 0.9412  1 N 2.95
Ba: 0.2349 0.6713 0.4492  1 N 2.84
Ba: 0.2349 0.8287 0.9492  1 N 2.84
Ba: 0.3315 0.0429 0.2259  1 N 2.84
Ba: 0.3315 0.4571 0.7259  1 N 2.84
Ba: 0.6685 0.5429 0.2741  1 N 2.84
Ba: 0.6685 0.9571 0.7741  1 N 2.84
Ba: 0.7651 0.1713 0.0508  1 N 2.84
Ba: 0.7651 0.3287 0.5508  1 N 2.84
Ba: 0.8918 0.7142 0.0588  1 N 2.95
Ba: 0.8918 0.7858 0.5588  1 N 2.95
Bi: 0.2251 0.0737 0.7505  6 Ba 3.55-3.90
Bi: 0.2251 0.4263 0.2505  6 Ba 3.55-3.90
Bi: 0.7749 0.5737 0.7495  6 Ba 3.55-3.90
Bi: 0.7749 0.9263 0.2495  6 Ba 3.55-3.90
Sb: 0.5000 0.0000 0.5000  6 Ba 3.38-3.44
Sb: 0.5000 0.5000 0.0000  6 Ba 3.38-3.44
N: 0.0000 0.0000 0.0000  6 Ba 2.84-2.95
N: 0.0000 0.5000 0.5000  6 Ba 2.84-2.95

---

No. 10
The following is a PBE-GGA calculation of a relaxed U2S3F crystal, from Alexandria.

Computed properties:
The volume comes out at 21.4 A^3/atom. The calculation puts the energy relative to the elements, uncorrected at -1813 meV/atom. The value obtained for the total energy is -95.42 eV/cell. Its crystal system is trigonal.

Lattice parameters (Å, degrees): 6.9626 6.9626 6.9626 63.34 63.34 63.34
Last column: nearest neighbours and their distance in Å.
Atoms (fractional coordinates):
U: 0.1364 0.1364 0.1364  1 F 2.27
U: 0.3636 0.3636 0.3636  1 F 2.27
U: 0.6364 0.6364 0.6364  1 F 2.27
U: 0.8636 0.8636 0.8636  1 F 2.27
S: 0.0301 0.7500 0.4699  4 U 2.78-2.80, 2 F 2.99
S: 0.2500 0.5301 0.9699  4 U 2.78-2.80, 2 F 2.99
S: 0.4699 0.0301 0.7500  4 U 2.78-2.80, 2 F 2.99
S: 0.5301 0.9699 0.2500  4 U 2.78-2.80, 2 F 2.99
S: 0.7500 0.4699 0.0301  4 U 2.78-2.80, 2 F 2.99
S: 0.9699 0.2500 0.5301  4 U 2.78-2.80, 2 F 2.99
F: 0.0000 0.0000 0.0000  2 U 2.27
F: 0.5000 0.5000 0.5000  2 U 2.27